1.
A plane-wave DFT calculation with PBEsol was carried out for a relaxed structure of Mg2TiMn3S8.

Properties
- electronic total energy (eV per atom) = -6.32
- crystal system = trigonal

Unit cell a=7.205 b=7.205 c=7.205 alpha=59.98 beta=59.98 gamma=59.98
Fractional positions:
Mg1 0.127 0.127 0.127
Mg2 0.873 0.873 0.873
Ti1 0.500 0.500 0.500
Mn1 0.000 0.500 0.500
Mn2 0.500 0.000 0.500
Mn3 0.500 0.500 0.000
S1 0.261 0.261 0.716
S2 0.261 0.716 0.261
S3 0.264 0.264 0.264
S4 0.284 0.739 0.739
S5 0.716 0.261 0.261
S6 0.736 0.736 0.736
S7 0.739 0.284 0.739
S8 0.739 0.739 0.284

***

2.
A plane-wave DFT calculation with PBEsol was carried out for a relaxed structure of Mg2Ti3MnS8.

Properties
- electronic total energy (eV per atom) = -6.45
- crystal system = trigonal

Unit cell a=7.332 b=7.332 c=7.332 alpha=58.20 beta=58.20 gamma=58.20
Fractional positions:
Mg1 0.126 0.126 0.126
Mg2 0.874 0.874 0.874
Ti1 0.000 0.500 0.500
Ti2 0.500 0.000 0.500
Ti3 0.500 0.500 0.000
Mn1 0.500 0.500 0.500
S1 0.259 0.259 0.259
S2 0.260 0.260 0.717
S3 0.260 0.717 0.260
S4 0.283 0.740 0.740
S5 0.717 0.260 0.260
S6 0.740 0.283 0.740
S7 0.740 0.740 0.283
S8 0.741 0.741 0.741

***

3.
A plane-wave DFT calculation with PBEsol was carried out for a relaxed structure of Mg2Mn3VS8.

Properties
- electronic total energy (eV per atom) = -6.32
- crystal system = trigonal

Unit cell a=7.134 b=7.134 c=7.134 alpha=59.08 beta=59.08 gamma=59.08
Fractional positions:
Mg1 0.127 0.127 0.127
Mg2 0.873 0.873 0.873
Mn1 0.000 0.500 0.500
Mn2 0.500 0.000 0.500
Mn3 0.500 0.500 0.000
V1 0.500 0.500 0.500
S1 0.261 0.261 0.710
S2 0.261 0.710 0.261
S3 0.264 0.264 0.264
S4 0.290 0.739 0.739
S5 0.710 0.261 0.261
S6 0.736 0.736 0.736
S7 0.739 0.290 0.739
S8 0.739 0.739 0.290

***

4.
A plane-wave DFT calculation with PBEsol was carried out for a relaxed structure of MgMnSb2.

Properties
- electronic total energy (eV per atom) = -5.16
- crystal system = trigonal

Unit cell a=7.202 b=7.202 c=7.202 alpha=31.38 beta=31.38 gamma=31.38
Fractional positions:
Mg1 0.000 0.000 0.000
Mn1 0.500 0.500 0.500
Sb1 0.238 0.238 0.238
Sb2 0.762 0.762 0.762

***

5.
A plane-wave DFT calculation with PBEsol was carried out for a relaxed structure of MgMnSb2.

Properties
- electronic total energy (eV per atom) = -5.03
- crystal system = tetragonal

Unit cell a=3.624 b=3.624 c=6.396 alpha=90.00 beta=90.00 gamma=90.00
Fractional positions:
Mg1 0.000 0.000 0.000
Mn1 0.000 0.000 0.500
Sb1 0.500 0.500 0.274
Sb2 0.500 0.500 0.726

***

6.
A plane-wave DFT calculation with PBEsol was carried out for a relaxed structure of MgMnSb2.

Properties
- electronic total energy (eV per atom) = -5.05
- crystal system = tetragonal

Unit cell a=3.913 b=3.913 c=5.758 alpha=90.00 beta=90.00 gamma=90.00
Fractional positions:
Mg1 0.000 0.000 0.000
Mn1 0.500 0.500 0.367
Sb1 0.000 0.000 0.482
Sb2 0.500 0.500 0.867